a) VASP calculation (PBE) on ThV2Mo after structural relaxation.

a b c (Å): 3.162 3.162 7.457
angles (deg): 90.00 90.00 90.00
Space group P4/mmm (No. 123)
Unique sites:
1 Th 0.000 0.000 0.000 (multiplicity 1)
2 V 0.500 0.500 0.313 (multiplicity 2)
3 Mo 0.000 0.000 0.500 (multiplicity 1)

Results
* total magnetization: 0.000 μB/cell

b) VASP calculation (PBE) on ThV2Mo after structural relaxation.

a b c (Å): 4.2477 4.2477 15.9883
angles (deg): 90.00 90.00 120.00
Space group R-3m (No. 166, hexagonal axes)
Unique sites:
1 Th 0.0000 0.0000 0.0000 (multiplicity 3)
2 V 0.0000 0.0000 0.1988 (multiplicity 6)
3 Mo 0.0000 0.0000 0.5000 (multiplicity 3)

Results
* total magnetization: 0.000 μB/cell

Q: What are the energies relative to the best structure? A: a) 0; b) 70, in meV/atom.

a) VASP calculation (PBE) on Th2ZnMo after structural relaxation.

a b c (Å): 7.292 7.292 7.292
angles (deg): 90.00 90.00 90.00
Space group Fm-3m (No. 225)
Unique sites:
1 Th 0.250 0.250 0.250 (multiplicity 8)
2 Zn 0.000 0.000 0.000 (multiplicity 4)
3 Mo 0.000 0.000 0.500 (multiplicity 4)

Results
* total magnetization: 0.000 μB/cell

b) VASP calculation (PBE) on Th2ZnMo after structural relaxation.

a b c (Å): 3.639 3.639 7.351
angles (deg): 90.00 90.00 90.00
Space group P4/mmm (No. 123)
Unique sites:
1 Th 0.000 0.000 0.237 (multiplicity 2)
2 Zn 0.500 0.500 0.500 (multiplicity 1)
3 Mo 0.500 0.500 0.000 (multiplicity 1)

Results
* total magnetization: 0.000 μB/cell

Q: What are the energies relative to the best structure? A: a) 44; b) 0, in meV/atom.

a) VASP calculation (PBE) on Ti4Mo after structural relaxation.

a b c (Å): 10.237 3.208 7.236
angles (deg): 90.00 134.94 90.00
Space group C2/m (No. 12)
Unique sites:
1 Ti 0.091 0.000 0.372 (multiplicity 4)
2 Ti 0.220 0.500 0.810 (multiplicity 4)
3 Mo 0.000 0.500 0.000 (multiplicity 2)

Results
* total magnetization: 0.002 μB/cell

b) VASP calculation (PBE) on Ti4Mo after structural relaxation.

a b c (Å): 4.684 4.684 4.684
angles (deg): 90.00 90.00 90.00
Space group Pm-3m (No. 221)
Unique sites:
1 Ti 0.000 0.000 0.000 (multiplicity 1)
2 Ti 0.000 0.500 0.500 (multiplicity 3)
3 Mo 0.500 0.500 0.500 (multiplicity 1)

Results
* total magnetization: 0.012 μB/cell

Q: What are the energies relative to the best structure? A: a) 0; b) 835, in meV/atom.

a) VASP calculation (PBE) on TiMo4 after structural relaxation.

a b c (Å): 7.714 4.467 5.258
angles (deg): 90.00 119.37 90.00
Space group C2/m (No. 12)
Unique sites:
1 Ti 0.000 0.000 0.000 (multiplicity 2)
2 Mo 0.098 0.500 0.796 (multiplicity 4)
3 Mo 0.204 0.000 0.611 (multiplicity 4)

Results
* total magnetization: 0.000 μB/cell

b) VASP calculation (PBE) on TiMo4 after structural relaxation.

a b c (Å): 4.500 4.500 4.500
angles (deg): 90.00 90.00 90.00
Space group Pm-3m (No. 221)
Unique sites:
1 Ti 0.000 0.000 0.000 (multiplicity 1)
2 Mo 0.000 0.000 0.500 (multiplicity 3)
3 Mo 0.500 0.500 0.500 (multiplicity 1)

Results
* total magnetization: 0.000 μB/cell

Q: What are the energies relative to the best structure? A: a) 0; b) 1715, in meV/atom.

a) VASP calculation (PBE) on Ti5Mo after structural relaxation.

a b c (Å): 3.163 3.163 10.120
angles (deg): 90.00 90.00 90.00
Space group P4/mmm (No. 123)
Unique sites:
1 Ti 0.000 0.000 0.000 (multiplicity 1)
2 Ti 0.000 0.000 0.352 (multiplicity 2)
3 Ti 0.500 0.500 0.173 (multiplicity 2)
4 Mo 0.500 0.500 0.500 (multiplicity 1)

Results
* total magnetization: 0.000 μB/cell

b) VASP calculation (PBE) on Ti5Mo after structural relaxation.

a b c (Å): 2.865 5.431 6.938
angles (deg): 77.18 78.78 75.97
Space group P-1 (No. 2)
Unique sites:
1 Ti 0.000 0.000 0.000 (multiplicity 1)
2 Ti 0.220 0.186 0.330 (multiplicity 2)
3 Ti 0.461 0.334 0.678 (multiplicity 2)
4 Mo 0.500 0.500 0.000 (multiplicity 1)

Results
* total magnetization: 0.000 μB/cell

Q: What are the energies relative to the best structure? A: a) 51; b) 0, in meV/atom.

a) VASP calculation (PBE) on Ti3Mo2 after structural relaxation.

a b c (Å): 3.228 3.228 15.621
angles (deg): 90.00 90.00 90.00
Space group I4/mmm (No. 139)
Unique sites:
1 Ti 0.000 0.000 0.000 (multiplicity 2)
2 Ti 0.000 0.000 0.191 (multiplicity 4)
3 Mo 0.000 0.000 0.397 (multiplicity 4)

Results
* total magnetization: 0.001 μB/cell

b) VASP calculation (PBE) on Ti3Mo2 after structural relaxation.

a b c (Å): 9.755 13.434 5.108
angles (deg): 90.00 90.00 90.00
Space group Fdd2 (No. 43)
Unique sites:
1 Ti 0.000 0.000 0.000 (multiplicity 8)
2 Ti 0.051 0.202 0.851 (multiplicity 16)
3 Mo 0.049 0.112 0.411 (multiplicity 16)

Results
* total magnetization: 0.000 μB/cell

Q: What are the energies relative to the best structure? A: a) 0; b) 149, in meV/atom.